{"formula": "HfTaWO2", "functional": "PBE with a Hubbard U", "state": "optimized geometry", "lattice": [[3.8798, 0.0000, 0.0000], [0.0000, 6.0654, 0.0000], [0.0000, 0.0000, 3.8798]], "species": ["O", "O", "W", "Hf", "Ta"], "fractional_positions": [[0.0000, 0.0000, 0.5000], [0.5000, 0.0000, 0.0000], [0.0000, 0.0000, 0.0000], [0.0000, 0.5000, 0.0000], [0.5000, 0.5000, 0.5000]], "magmom_total_mub_per_cell": 0.001, "n_ef_per_ev_cell": 3.12, "total_energy_ev_per_atom": -7.753}